No. 1
Entry from the Alexandria database: Mn3NbF after structural relaxation (PBE+U).

a b c (Å): 4.4628 4.4628 4.4628
angles (deg): 90.00 90.00 90.00
Closest atoms and distances in Å follow each position.
Space group Pm-3m (No. 221)
Asymmetric unit:
Mn 0.0000 0.0000 0.5000 [3 per cell]  2 F 2.23
Nb 0.5000 0.5000 0.5000 [1 per cell]  12 Mn 3.16
F 0.0000 0.0000 0.0000 [1 per cell]  6 Mn 2.23

Output
E_tot (eV/atom): -6.76
E above lowest polymorph (meV per atom): 0

---

No. 2
Entry from the Alexandria database: MnNbF2 after structural relaxation (PBE+U).

a b c (Å): 2.9623 2.9623 22.5291
angles (deg): 90.00 90.00 120.00
Closest atoms and distances in Å follow each position.
Space group R-3m (No. 166, hexagonal axes)
Asymmetric unit:
Mn 0.0000 0.0000 0.0000 [3 per cell]  6 F 2.27
Nb 0.0000 0.0000 0.5000 [3 per cell]  2 F 2.26
F 0.0000 0.0000 0.3996 [6 per cell]  1 Nb 2.26, 3 Mn 2.27

Output
E_tot (eV/atom): -6.56
E above lowest polymorph (meV per atom): 35

---

Which of these has the highest E above lowest polymorph?
MnNbF2

---

What is the E_tot in the first record?
-6.76 eV/atom

---

What did the second record say?
Entry from the Alexandria database: MnNbF2 after structural relaxation (PBE+U).

a b c (Å): 2.9623 2.9623 22.5291
angles (deg): 90.00 90.00 120.00
Closest atoms and distances in Å follow each position.
Space group R-3m (No. 166, hexagonal axes)
Asymmetric unit:
Mn 0.0000 0.0000 0.0000 [3 per cell]  6 F 2.27
Nb 0.0000 0.0000 0.5000 [3 per cell]  2 F 2.26
F 0.0000 0.0000 0.3996 [6 per cell]  1 Nb 2.26, 3 Mn 2.27

Output
E_tot (eV/atom): -6.56
E above lowest polymorph (meV per atom): 35